No. 1
Here is crystalline ZnRu2Au at its relaxed geometry from Alexandria. Energies are from GGA-PBEsol.

Cell and atoms, written as POSCAR:
```
ZnRu2Au
1.0
2.764 0.000 0.000
0.000 4.477 0.000
0.000 0.000 4.650
Zn Ru Au
1 2 1
Direct
0.000 0.000 0.000
0.000 0.500 0.500
0.500 0.000 0.500
0.500 0.500 0.000
```

Output
Energy of formation from the pure elements   0.33 eV per atom

No. 2
Here is crystalline NaNbZnTe2 at its relaxed geometry from Alexandria. Energies are from GGA-PBEsol.

Cell and atoms, written as POSCAR:
```
NaNbZnTe2
1.0
5.255 0.000 0.000
0.000 5.255 0.000
0.000 0.000 5.157
Na Nb Zn Te
1 1 1 2
Direct
0.000 0.000 0.000
0.000 0.000 0.500
0.500 0.500 0.500
0.000 0.500 0.000
0.500 0.000 0.000
```

Output
Energy relative to the elements, uncorrected   1.30 eV/atom